# PBE InSnBiCl, optimized geometry
data_InSnBiCl
_cell_length_a 5.4031
_cell_length_b 5.4031
_cell_length_c 5.4031
_cell_angle_alpha 60.00
_cell_angle_beta 60.00
_cell_angle_gamma 60.00
_space_group_name_H-M_alt 'P 1'
_space_group_IT_number 1
loop_
_space_group_symop_operation_xyz
'x,y,z'
loop_
_atom_site_label
_atom_site_fract_x
_atom_site_fract_y
_atom_site_fract_z
In1 0.0000 0.0000 0.0000
Sn1 0.5000 0.5000 0.5000
Bi1 0.7500 0.7500 0.7500
Cl1 0.2500 0.2500 0.2500
# calculated density	7.1	Mg/m³
# E_form (uncorrected)	-0.2260	eV per atom
# DOS at the Fermi energy	2.23	states/eV per cell